(1)
# Tb2Pb2O7

A relaxed Tb2Pb2O7 crystal (PBE-GGA, Alexandria via LeMat-Bulk).

Calculated values
The calculation puts the theoretical density at 8.0 g/cm³. Its energy relative to the elements, uncorrected is -2156 kJ/mol of formula units. The calculation puts the energy above the most stable polymorph in this dataset at 77 meV/atom. The space group is P4_12_12.

a b c (Å): 7.391 7.391 12.900
angles (deg): 90.00 90.00 90.00
Element x y z (fractional)
Tb: 0.642 0.125 0.139
Tb: 0.375 0.142 0.389
Tb: 0.858 0.625 0.111
Tb: 0.358 0.875 0.639
Tb: 0.142 0.375 0.611
Tb: 0.125 0.642 0.861
Tb: 0.625 0.858 0.889
Tb: 0.875 0.358 0.361
O: 0.337 0.869 0.461
O: 0.326 0.904 0.825
O: 0.369 0.163 0.211
O: 0.826 0.596 0.925
O: 0.804 0.804 0.500
O: 0.131 0.663 0.039
O: 0.304 0.696 0.250
O: 0.174 0.404 0.425
O: 0.163 0.369 0.789
O: 0.837 0.631 0.289
O: 0.903 0.931 0.160
O: 0.404 0.174 0.575
O: 0.696 0.304 0.750
O: 0.596 0.826 0.075
O: 0.403 0.569 0.590
O: 0.431 0.597 0.910
O: 0.663 0.131 0.961
O: 0.674 0.096 0.325
O: 0.904 0.326 0.175
O: 0.869 0.337 0.539
O: 0.569 0.403 0.410
O: 0.069 0.097 0.340
O: 0.196 0.196 0.000
O: 0.931 0.903 0.840
O: 0.597 0.431 0.090
O: 0.097 0.069 0.660
O: 0.096 0.674 0.675
O: 0.631 0.837 0.711
Pb: 0.389 0.626 0.098
Pb: 0.111 0.126 0.152
Pb: 0.126 0.111 0.848
Pb: 0.611 0.374 0.598
Pb: 0.374 0.611 0.402
Pb: 0.626 0.389 0.902
Pb: 0.874 0.889 0.348
Pb: 0.889 0.874 0.652

(2)
# TbPbO

A relaxed TbPbO crystal (PBE-GGA, Alexandria via LeMat-Bulk).

Calculated values
The calculation puts the theoretical density at 9.1 g/cm³. Its energy relative to the elements, uncorrected is -511 kJ/mol of formula units. The calculation puts the energy above the most stable polymorph in this dataset at 30 meV/atom. The space group is I4mm.

a b c (Å): 3.247 3.247 6.973
angles (deg): 103.46 103.46 90.00
Element x y z (fractional)
Tb: 0.736 0.736 0.473
O: 0.257 0.257 0.513
Pb: 0.007 0.007 0.014